## MgZn2As (PBE)

Data for a relaxed structure of MgZn2As.

The total DFT energy (no corrections) comes out at -8.9 eV for the cell shown. Its density of states at the Fermi level is 1.647 states/eV/cell. The calculation puts the density at 5.411 g cm⁻³. The formation enthalpy at 0 K comes out at -0.029 eV per atom.

a = 5.1680 Å, b = 5.1680 Å, c = 5.1680 Å
α = 133.85°, β = 133.85°, γ = 67.33°
Closest atoms and distances in Å follow each position.
Atoms (fractional coordinates):
Mg (0.0000, 0.0000, 0.0000)  8 Zn 2.86-2.95, 4 As 2.95
Zn (0.5000, 0.5000, 0.0000)  4 Mg 2.86, 4 As 2.95, 4 Zn 2.95
Zn (0.7500, 0.2500, 0.5000)  4 As 2.86, 4 Zn 2.95, 4 Mg 2.95
As (0.2500, 0.7500, 0.5000)  8 Zn 2.86-2.95, 4 Mg 2.95